[1]
# BaTlRe2 GGA-PBE optimized geometry
# excess energy over the best structure of this formula in the dataset	1220	meV per atom
# magnetic moment	0.0	Bohr magnetons per cell
# formation energy from the elements	1.665	eV/atom
data_BaTlRe2
_chemical_formula_sum 'Ba1 Tl1 Re2'
_space_group_name_H-M_alt 'P 1'
_space_group_IT_number 1
_space_group_name_Hall 'P 1'
_cell_length_a 5.931
_cell_length_b 5.931
_cell_length_c 2.851
_cell_angle_alpha 90.00
_cell_angle_beta 90.00
_cell_angle_gamma 116.55
loop_
_atom_site_label
_atom_site_type_symbol
_atom_site_fract_x
_atom_site_fract_y
_atom_site_fract_z
Ba1 Ba 0.000 0.000 0.000
Tl1 Tl 0.500 0.500 0.000
Re1 Re 0.000 0.500 0.500
Re2 Re 0.500 0.000 0.500

***

[2]
# BaTlRe2 GGA-PBE optimized geometry
# excess energy over the best structure of this formula in the dataset	1007	meV per atom
# magnetic moment	0.0	Bohr magnetons per cell
# formation energy from the elements	1.452	eV/atom
data_BaTlRe2
_chemical_formula_sum 'Ba1 Tl1 Re2'
_space_group_name_H-M_alt 'P 1'
_space_group_IT_number 1
_space_group_name_Hall 'P 1'
_cell_length_a 4.993
_cell_length_b 4.993
_cell_length_c 4.993
_cell_angle_alpha 60.00
_cell_angle_beta 60.00
_cell_angle_gamma 60.00
loop_
_atom_site_label
_atom_site_type_symbol
_atom_site_fract_x
_atom_site_fract_y
_atom_site_fract_z
Ba1 Ba 0.000 0.000 0.000
Tl1 Tl 0.250 0.250 0.250
Re1 Re 0.500 0.500 0.500
Re2 Re 0.750 0.750 0.750

***

[3]
# BaTlRe2 GGA-PBE optimized geometry
# excess energy over the best structure of this formula in the dataset	360	meV per atom
# magnetic moment	0.0	Bohr magnetons per cell
# formation energy from the elements	0.805	eV/atom
data_BaTlRe2
_chemical_formula_sum 'Ba1 Tl1 Re2'
_space_group_name_H-M_alt 'P 1'
_space_group_IT_number 1
_space_group_name_Hall 'P 1'
_cell_length_a 5.400
_cell_length_b 5.400
_cell_length_c 6.161
_cell_angle_alpha 107.03
_cell_angle_beta 107.03
_cell_angle_gamma 41.88
loop_
_atom_site_label
_atom_site_type_symbol
_atom_site_fract_x
_atom_site_fract_y
_atom_site_fract_z
Ba1 Ba 0.000 0.000 0.000
Tl1 Tl 0.500 0.500 0.500
Re1 Re 0.238 0.238 0.605
Re2 Re 0.762 0.762 0.395

***

[4]
# BaTl2VRe GGA-PBE optimized geometry
# magnetic moment	2.1	Bohr magnetons per cell
# formation energy from the elements	0.455	eV/atom
data_BaTl2VRe
_chemical_formula_sum 'Ba1 Tl2 V1 Re1'
_space_group_name_H-M_alt 'P 1'
_space_group_IT_number 1
_space_group_name_Hall 'P 1'
_cell_length_a 5.425
_cell_length_b 5.425
_cell_length_c 4.821
_cell_angle_alpha 90.00
_cell_angle_beta 90.00
_cell_angle_gamma 90.00
loop_
_atom_site_label
_atom_site_type_symbol
_atom_site_fract_x
_atom_site_fract_y
_atom_site_fract_z
Ba1 Ba 0.000 0.000 0.000
Tl1 Tl 0.000 0.500 0.500
Tl2 Tl 0.500 0.000 0.500
V1 V 0.500 0.500 0.000
Re1 Re 0.500 0.500 0.500

***

> Which value of magnetic moment does entry 4 give?

2.1 Bohr magnetons per cell